# 1
Material: La2Tb12Er
Method: DFT, PBE-GGA
State: relaxed

a b c (Å): 6.7242 6.7242 24.8848
angles (deg): 90.00 90.00 115.97
Sites, in units of the cell vectors:
La (0.2500, 0.7500, 0.2325)
La (0.2500, 0.7500, 0.7678)
La (0.7500, 0.2500, 0.2322)
La (0.7500, 0.2500, 0.7675)
Tb (0.0000, 0.0000, 0.4238)
Tb (0.0000, 0.0000, 0.5762)
Tb (0.0005, 0.5005, 0.0840)
Tb (0.0000, 0.5000, 0.3760)
Tb (0.0000, 0.5000, 0.6240)
Tb (0.9995, 0.4995, 0.9160)
Tb (0.0007, 0.9993, 0.9379)
Tb (0.2500, 0.2500, 0.1730)
Tb (0.2500, 0.2500, 0.3028)
Tb (0.2500, 0.2500, 0.6972)
Tb (0.2500, 0.2500, 0.8270)
Tb (0.4993, 0.5007, 0.9379)
Tb (0.4995, 0.9995, 0.0840)
Tb (0.5000, 0.0000, 0.3760)
Tb (0.5000, 0.0000, 0.6240)
Tb (0.5005, 0.0005, 0.9160)
Tb (0.5000, 0.5000, 0.4238)
Tb (0.5000, 0.5000, 0.5762)
Tb (0.5007, 0.4993, 0.0621)
Tb (0.7500, 0.7500, 0.1730)
Tb (0.7500, 0.7500, 0.3028)
Tb (0.7500, 0.7500, 0.6972)
Tb (0.7500, 0.7500, 0.8270)
Tb (0.9993, 0.0007, 0.0621)
Er (0.2500, 0.7500, 0.5000)
Er (0.7500, 0.2500, 0.5000)

Summary:
D(E_F) in states/eV/atom: 1.624
ΔH_f (0 K) in eV per atom: 0.158
Magnetic moment in μB per formula unit: 0.000
Final energy in eV/atom: -4.508

=====

# 2
Material: Tb2LuCd
Method: DFT, PBE-GGA
State: relaxed

a b c (Å): 12.2092 12.2092 12.2092
angles (deg): 16.22 16.22 16.22
Sites, in units of the cell vectors:
Tb (0.0895, 0.0895, 0.0895)
Tb (0.9105, 0.9105, 0.9105)
Lu (0.5000, 0.5000, 0.5000)
Cd (0.0000, 0.0000, 0.0000)

Summary:
D(E_F) in states/eV/atom: 0.717
ΔH_f (0 K) in eV per atom: 0.151
Magnetic moment in μB per formula unit: 0.000
Final energy in eV/atom: -3.523

=====

# 3
Material: CaAcCdAu
Method: DFT, PBE-GGA
State: relaxed

a b c (Å): 3.8620 3.8620 7.7762
angles (deg): 90.00 90.00 90.00
Sites, in units of the cell vectors:
Ca (0.0000, 0.0000, 0.0000)
Ac (0.0000, 0.0000, 0.4663)
Cd (0.5000, 0.5000, 0.7567)
Au (0.5000, 0.5000, 0.2209)

Summary:
D(E_F) in states/eV/atom: 0.671
ΔH_f (0 K) in eV per atom: -0.546
Magnetic moment in μB per formula unit: 0.000
Final energy in eV/atom: -3.122

=====

# 4
Material: NdTmCdGa
Method: DFT, PBE-GGA
State: relaxed

a b c (Å): 3.6442 3.6442 7.5812
angles (deg): 90.00 90.00 90.00
Sites, in units of the cell vectors:
Nd (0.0000, 0.0000, 0.0000)
Tm (0.0000, 0.0000, 0.4675)
Cd (0.5000, 0.5000, 0.7129)
Ga (0.5000, 0.5000, 0.2507)

Summary:
D(E_F) in states/eV/atom: 0.617
ΔH_f (0 K) in eV per atom: -0.447
Magnetic moment in μB per formula unit: 0.000
Final energy in eV/atom: -3.743

=====

# 5
Material: Na2TbPaS4
Method: DFT, PBE-GGA
State: relaxed

a b c (Å): 6.9107 3.9409 7.1379
angles (deg): 90.00 108.45 90.00
Sites, in units of the cell vectors:
Na (0.0000, 0.0000, 0.0000)
Na (0.5000, 0.5000, 0.0000)
Tb (0.0000, 0.5000, 0.5000)
Pa (0.5000, 0.0000, 0.5000)
S (0.2460, 0.0000, 0.7306)
S (0.2551, 0.5000, 0.2666)
S (0.7449, 0.5000, 0.7334)
S (0.7540, 0.0000, 0.2694)

Summary:
Formation energy (no corrections) in eV/atom: -1.62
D(E_F) in states/eV/atom: 0.792
Magnetic moment in μB per formula unit: 1.915
Final energy in eV/atom: -5.780

=====

# 6
Material: Ti2CdOsSe
Method: DFT, PBE-GGA
State: relaxed

a b c (Å): 4.6016 4.6016 4.8291
angles (deg): 90.00 90.00 90.00
Sites, in units of the cell vectors:
Ti (0.0000, 0.5000, 0.0000)
Ti (0.5000, 0.0000, 0.0000)
Cd (0.0000, 0.0000, 0.5000)
Os (0.5000, 0.5000, 0.5000)
Se (0.0000, 0.0000, 0.0000)

Summary:
Formation energy (no corrections) in eV/atom: 0.87
D(E_F) in states/eV/atom: 0.950
Magnetic moment in μB per formula unit: 0.003
Final energy in eV/atom: -5.413

=====

# 7
Material: SmAg4Sb
Method: DFT, PBE-GGA
State: relaxed

a b c (Å): 5.6830 5.6830 5.6830
angles (deg): 60.00 60.00 60.00
Sites, in units of the cell vectors:
Sm (0.0000, 0.0000, 0.0000)
Ag (0.1247, 0.6251, 0.6251)
Ag (0.6251, 0.1247, 0.6251)
Ag (0.6251, 0.6251, 0.1247)
Ag (0.6251, 0.6251, 0.6251)
Sb (0.2500, 0.2500, 0.2500)

Summary:
Formation energy (no corrections) in eV/atom: -0.19
D(E_F) in states/eV/atom: 0.392
Magnetic moment in μB per formula unit: 0.000
Final energy in eV/atom: -3.561

=====

# 8
Material: MnFeCl2
Method: DFT, PBE-GGA
State: relaxed

a b c (Å): 6.0186 6.0186 6.0186
angles (deg): 150.40 104.27 83.34
Sites, in units of the cell vectors:
Mn (0.0000, 0.0000, 0.0000)
Fe (0.7727, 0.2727, 0.5000)
Cl (0.1928, 0.6928, 0.5000)
Cl (0.5869, 0.5869, 0.0000)

Summary:
Formation energy (no corrections) in eV/atom: -0.04
D(E_F) in states/eV/atom: 0.517
Magnetic moment in μB per formula unit: 6.991
Final energy in eV/atom: -5.375

=====

# 9
Material: PuAlRu2
Method: DFT, PBE-GGA
State: relaxed

a b c (Å): 3.1751 3.1751 6.4776
angles (deg): 90.00 90.00 90.00
Sites, in units of the cell vectors:
Pu (0.0000, 0.0000, 0.0000)
Al (0.0000, 0.0000, 0.5000)
Ru (0.5000, 0.5000, 0.2763)
Ru (0.5000, 0.5000, 0.7237)

Summary:
D(E_F) in states/eV/atom: 1.659
ΔH_f (0 K) in eV per atom: -0.331
Magnetic moment in μB per formula unit: 4.002
Final energy in eV/atom: -9.488

=====

# 10
Material: RbTcSb2I
Method: DFT, PBE-GGA
State: relaxed

a b c (Å): 6.0167 6.0167 6.1707
angles (deg): 90.00 90.00 90.00
Sites, in units of the cell vectors:
Rb (0.0000, 0.0000, 0.0000)
Tc (0.5000, 0.5000, 0.5000)
Sb (0.0000, 0.5000, 0.0000)
Sb (0.5000, 0.0000, 0.0000)
I (0.0000, 0.0000, 0.5000)

Summary:
Formation energy (no corrections) in eV/atom: 2.17
D(E_F) in states/eV/atom: 1.769
Magnetic moment in μB per formula unit: 0.517
Final energy in eV/atom: -2.057

=====

# 11
Material: AcPu2Rh
Method: DFT, PBE-GGA
State: relaxed

a b c (Å): 10.5425 10.5425 10.5425
angles (deg): 20.64 20.64 20.64
Sites, in units of the cell vectors:
Ac (0.0000, 0.0000, 0.0000)
Pu (0.1117, 0.1117, 0.1117)
Pu (0.8883, 0.8883, 0.8883)
Rh (0.5000, 0.5000, 0.5000)

Summary:
D(E_F) in states/eV/atom: 4.309
ΔH_f (0 K) in eV per atom: 0.096
Magnetic moment in μB per formula unit: 11.381
Final energy in eV/atom: -9.935

=====

# 12
Material: PmAs2Pd5Au
Method: DFT, PBE-GGA
State: relaxed

a b c (Å): 4.6690 4.6690 7.6539
angles (deg): 90.00 90.00 90.00
Sites, in units of the cell vectors:
Pm (0.0000, 0.0000, 0.0000)
As (0.5000, 0.5000, 0.3382)
As (0.5000, 0.5000, 0.6618)
Pd (0.0000, 0.5000, 0.2431)
Pd (0.0000, 0.5000, 0.7569)
Pd (0.5000, 0.0000, 0.2431)
Pd (0.5000, 0.0000, 0.7569)
Pd (0.5000, 0.5000, 0.0000)
Au (0.0000, 0.0000, 0.5000)

Summary:
D(E_F) in states/eV/atom: 0.429
ΔH_f (0 K) in eV per atom: -0.440
Magnetic moment in μB per formula unit: 0.000
Final energy in eV/atom: -5.250

=====

# 13
Material: BaSrCo2
Method: DFT, PBE-GGA
State: relaxed

a b c (Å): 4.0895 6.4431 6.4431
angles (deg): 42.08 90.00 90.00
Sites, in units of the cell vectors:
Ba (0.0000, 0.0000, 0.0000)
Sr (0.5000, 0.7260, 0.7260)
Co (0.0000, 0.3150, 0.3150)
Co (0.5000, 0.3910, 0.3910)

Summary:
D(E_F) in states/eV/atom: 1.490
ΔH_f (0 K) in eV per atom: 0.303
Magnetic moment in μB per formula unit: 1.749
Final energy in eV/atom: -4.151

=====

# 14
Material: CaMgNiRh
Method: DFT, PBE-GGA
State: relaxed

a b c (Å): 4.6080 4.6080 4.6080
angles (deg): 60.00 60.00 60.00
Sites, in units of the cell vectors:
Ca (0.0000, 0.0000, 0.0000)
Mg (0.5000, 0.5000, 0.5000)
Ni (0.7500, 0.7500, 0.7500)
Rh (0.2500, 0.2500, 0.2500)

Summary:
D(E_F) in states/eV/atom: 0.340
ΔH_f (0 K) in eV per atom: -0.180
Magnetic moment in μB per formula unit: 0.000
Final energy in eV/atom: -4.362

=====

# 15
Material: HoTmCo2
Method: DFT, PBE-GGA
State: relaxed

a b c (Å): 4.6707 4.6707 4.6707
angles (deg): 60.00 60.00 60.00
Sites, in units of the cell vectors:
Ho (0.0000, 0.0000, 0.0000)
Tm (0.5000, 0.5000, 0.5000)
Co (0.2500, 0.2500, 0.2500)
Co (0.7500, 0.7500, 0.7500)

Summary:
D(E_F) in states/eV/atom: 0.276
ΔH_f (0 K) in eV per atom: -0.197
Magnetic moment in μB per formula unit: 0.666
Final energy in eV/atom: -6.012

=====

# 16
Material: Ca2Be2N3
Method: DFT, PBE-GGA
State: relaxed

a b c (Å): 5.0745 5.0745 5.8613
angles (deg): 121.22 121.22 36.24
Sites, in units of the cell vectors:
Ca (0.0670, 0.0670, 0.3339)
Ca (0.9330, 0.9330, 0.6661)
Be (0.3028, 0.3028, 0.9302)
Be (0.6972, 0.6972, 0.0698)
N (0.3001, 0.3001, 0.2390)
N (0.5000, 0.5000, 0.0000)
N (0.6999, 0.6999, 0.7610)

Summary:
Formation energy (no corrections) in eV/atom: -0.80
D(E_F) in states/eV/atom: 0.491
Magnetic moment in μB per formula unit: 0.848
Final energy in eV/atom: -6.006

=====

# 17
Material: Re2IrRuI
Method: DFT, PBE-GGA
State: relaxed

a b c (Å): 4.7457 4.7457 4.6487
angles (deg): 90.00 90.00 90.00
Sites, in units of the cell vectors:
Re (0.0000, 0.5000, 0.0000)
Re (0.5000, 0.0000, 0.0000)
Ir (0.0000, 0.0000, 0.5000)
Ru (0.5000, 0.5000, 0.5000)
I (0.5000, 0.5000, 0.0000)

Summary:
Formation energy (no corrections) in eV/atom: 2.87
D(E_F) in states/eV/atom: 1.096
Magnetic moment in μB per formula unit: 0.000
Final energy in eV/atom: -6.047

=====

# 18
Material: BaMg2Cr
Method: DFT, PBE-GGA
State: relaxed

a b c (Å): 5.4497 5.4497 5.4497
angles (deg): 120.44 119.06 90.44
Sites, in units of the cell vectors:
Ba (0.0000, 0.0000, 0.0000)
Mg (0.4972, 0.4972, 0.0000)
Mg (0.7424, 0.2424, 0.5000)
Cr (0.2585, 0.7585, 0.5000)

Summary:
D(E_F) in states/eV/atom: 0.737
ΔH_f (0 K) in eV per atom: 0.402
Magnetic moment in μB per formula unit: 4.271
Final energy in eV/atom: -3.282